Version 1
An optimized crystal structure of ScBePt2, computed with PBE.

Summary:
As for the crystal system: tetragonal. Its density of states at the Fermi level is 11.92 states/eV/cell.

Unit cell a=4.677 b=4.677 c=14.015 alpha=90.00 beta=90.00 gamma=90.00
Space group I-42d (No. 122)
Unique sites:
Sc1 0.000 0.000 0.000 [4 per cell]
Be1 0.000 0.000 0.500 [4 per cell]
Pt1 0.146 0.250 0.625 [8 per cell]



Version 2
An optimized crystal structure of ScBePt2, computed with PBE.

Summary:
As for the crystal system: orthorhombic. Its density of states at the Fermi level is 2.52 states/eV/cell.

Unit cell a=3.532 b=3.965 c=8.595 alpha=90.00 beta=90.00 gamma=90.00
Space group Imm2 (No. 44)
Unique sites:
Sc1 0.000 0.000 0.000 [2 per cell]
Be1 0.000 0.500 0.235 [2 per cell]
Pt1 0.000 0.000 0.522 [2 per cell]
Pt2 0.000 0.500 0.760 [2 per cell]



If we sort the structures by their calculated energies, the order from most to least stable is version 2, version 1.